[1]
Crystalline Be2Cd2GaAu5 at its relaxed geometry, computed with PBE-GGA.

## Properties
SG: P4/mbm (127)
DFT formation energy, kJ per mole of atoms: -11

Lattice parameters (Å, degrees): 3.140 10.402 10.402 90.00 90.00 90.00
Fractional coordinates of all 20 atoms:
Ga 0.000 0.000 0.000
Ga 0.000 0.500 0.500
Au 0.500 0.798 0.914
Au 0.500 0.086 0.798
Au 0.500 0.500 0.000
Au 0.500 0.298 0.586
Au 0.500 0.414 0.298
Au 0.500 0.000 0.500
Au 0.500 0.702 0.414
Au 0.500 0.202 0.086
Au 0.500 0.586 0.702
Au 0.500 0.914 0.202
Cd 0.000 0.667 0.167
Cd 0.000 0.833 0.667
Cd 0.000 0.333 0.833
Cd 0.000 0.167 0.333
Be 0.000 0.373 0.127
Be 0.000 0.627 0.873
Be 0.000 0.873 0.373
Be 0.000 0.127 0.627

***

[2]
Crystalline BeCdGaAu6 at its relaxed geometry, computed with PBE-GGA.

## Properties
SG: P1 (1)
DFT formation energy, kJ per mole of atoms: 3

Lattice parameters (Å, degrees): 5.053 5.105 8.496 90.10 90.07 59.78
Fractional coordinates of all 9 atoms:
Au 0.665 0.016 0.278
Au 0.019 0.310 0.281
Au 0.021 0.670 0.719
Au 0.315 0.660 0.277
Au 0.317 0.024 0.723
Au 0.667 0.318 0.721
Cd 0.000 0.000 0.000
Ga 0.662 0.670 0.500
Be 0.334 0.332 0.500

***

[3]
Crystalline BeCdGeAu2 at its relaxed geometry, computed with PBE-GGA.

## Properties
SG: P4/mmm (123)
DFT formation energy, kJ per mole of atoms: 14

Lattice parameters (Å, degrees): 4.638 4.311 4.638 90.00 90.00 90.00
Fractional coordinates of all 5 atoms:
Be 0.000 0.000 0.000
Ge 0.000 0.500 0.000
Au 0.000 0.000 0.500
Au 0.500 0.000 0.000
Cd 0.500 0.500 0.500

***

[4]
Crystalline KBeCdAu2 at its relaxed geometry, computed with PBE-GGA.

## Properties
SG: P4/mmm (123)
DFT formation energy, kJ per mole of atoms: -6

Lattice parameters (Å, degrees): 4.762 4.762 4.857 90.00 90.00 90.00
Fractional coordinates of all 5 atoms:
K 0.500 0.500 0.500
Cd 0.000 0.000 0.500
Au 0.000 0.500 0.000
Au 0.500 0.000 0.000
Be 0.000 0.000 0.000

***

[5]
Crystalline LaBeCdAu2 at its relaxed geometry, computed with PBE-GGA.

## Properties
SG: P4/mmm (123)
DFT formation energy, kJ per mole of atoms: -34

Lattice parameters (Å, degrees): 4.742 4.742 4.687 90.00 90.00 90.00
Fractional coordinates of all 5 atoms:
Au 0.000 0.500 0.000
Au 0.500 0.000 0.000
Be 0.000 0.000 0.000
La 0.500 0.500 0.500
Cd 0.000 0.000 0.500

***

[6]
Crystalline Mg2Be2CdAu5 at its relaxed geometry, computed with PBE-GGA.

## Properties
SG: P4/mbm (127)
DFT formation energy, kJ per mole of atoms: -28

Lattice parameters (Å, degrees): 3.344 10.068 10.068 90.00 90.00 90.00
Fractional coordinates of all 20 atoms:
Au 0.500 0.921 0.213
Au 0.500 0.421 0.287
Au 0.500 0.713 0.421
Au 0.500 0.000 0.500
Au 0.500 0.787 0.921
Au 0.500 0.579 0.713
Au 0.500 0.213 0.079
Au 0.500 0.079 0.787
Au 0.500 0.287 0.579
Au 0.500 0.500 0.000
Cd 0.000 0.000 0.000
Cd 0.000 0.500 0.500
Be 0.000 0.624 0.876
Be 0.000 0.876 0.376
Be 0.000 0.124 0.624
Be 0.000 0.376 0.124
Mg 0.000 0.827 0.673
Mg 0.000 0.327 0.827
Mg 0.000 0.673 0.173
Mg 0.000 0.173 0.327

***

[7]
Crystalline MgBe2Cd2Au5 at its relaxed geometry, computed with PBE-GGA.

## Properties
SG: P4/mbm (127)
DFT formation energy, kJ per mole of atoms: -19

Lattice parameters (Å, degrees): 3.525 9.802 9.802 90.00 90.00 90.00
Fractional coordinates of all 20 atoms:
Au 0.500 0.500 0.000
Au 0.500 0.709 0.428
Au 0.500 0.428 0.291
Au 0.500 0.928 0.209
Au 0.500 0.072 0.791
Au 0.500 0.291 0.572
Au 0.500 0.572 0.709
Au 0.500 0.209 0.072
Au 0.500 0.791 0.928
Au 0.500 0.000 0.500
Cd 0.000 0.176 0.324
Cd 0.000 0.676 0.176
Cd 0.000 0.824 0.676
Cd 0.000 0.324 0.824
Mg 0.000 0.000 0.000
Mg 0.000 0.500 0.500
Be 0.000 0.623 0.877
Be 0.000 0.377 0.123
Be 0.000 0.877 0.377
Be 0.000 0.123 0.623

***

[8]
Crystalline Na2Be3CdAu12 at its relaxed geometry, computed with PBE-GGA.

## Properties
SG: R-3m (166)
DFT formation energy, kJ per mole of atoms: -1

Lattice parameters (Å, degrees): 7.540 7.540 7.540 68.62 68.62 68.62
Fractional coordinates of all 18 atoms:
Au 0.101 0.657 0.657
Au 0.657 0.101 0.657
Au 0.343 0.343 0.899
Au 0.396 0.854 0.854
Au 0.146 0.146 0.604
Au 0.899 0.343 0.343
Au 0.657 0.657 0.101
Au 0.146 0.604 0.146
Au 0.604 0.146 0.146
Au 0.343 0.899 0.343
Au 0.854 0.854 0.396
Au 0.854 0.396 0.854
Na 0.409 0.409 0.409
Na 0.591 0.591 0.591
Cd 0.000 0.000 0.000
Be 0.000 0.000 0.500
Be 0.000 0.500 0.000
Be 0.500 0.000 0.000

***

[9]
Crystalline Na2Be2CdAu5 at its relaxed geometry, computed with PBE-GGA.

## Properties
SG: P4/mbm (127)
DFT formation energy, kJ per mole of atoms: -24

Lattice parameters (Å, degrees): 3.116 10.703 10.703 90.00 90.00 90.00
Fractional coordinates of all 20 atoms:
Au 0.500 0.719 0.433
Au 0.500 0.000 0.500
Au 0.500 0.219 0.067
Au 0.500 0.281 0.567
Au 0.500 0.933 0.219
Au 0.500 0.067 0.781
Au 0.500 0.433 0.281
Au 0.500 0.567 0.719
Au 0.500 0.781 0.933
Au 0.500 0.500 0.000
Na 0.000 0.678 0.178
Na 0.000 0.822 0.678
Na 0.000 0.178 0.322
Na 0.000 0.322 0.822
Cd 0.000 0.000 0.000
Cd 0.000 0.500 0.500
Be 0.000 0.623 0.877
Be 0.000 0.123 0.623
Be 0.000 0.877 0.377
Be 0.000 0.377 0.123

***

[10]
Crystalline NdBe2CdAu5 at its relaxed geometry, computed with PBE-GGA.

## Properties
SG: P4/mmm (123)
DFT formation energy, kJ per mole of atoms: -26

Lattice parameters (Å, degrees): 4.701 4.701 7.538 90.00 90.00 90.00
Fractional coordinates of all 9 atoms:
Be 0.500 0.500 0.171
Be 0.500 0.500 0.829
Cd 0.000 0.000 0.000
Au 0.500 0.000 0.774
Au 0.000 0.500 0.226
Au 0.500 0.000 0.226
Au 0.000 0.500 0.774
Au 0.500 0.500 0.500
Nd 0.000 0.000 0.500

***

[11]
Crystalline Be2CdAuO at its relaxed geometry, computed with PBE-GGA.

## Properties
SG: P4/mmm (123)
Energy relative to the elements, uncorrected, meV/atom: 990

Lattice parameters (Å, degrees): 4.703 3.988 4.703 90.00 90.00 90.00
Fractional coordinates of all 5 atoms:
O 0.000 0.500 0.000
Be 0.000 0.000 0.500
Be 0.500 0.000 0.000
Cd 0.000 0.000 0.000
Au 0.500 0.500 0.500

***

[12]
Crystalline PmBeCdAu at its relaxed geometry, computed with PBE-GGA.

## Properties
SG: F-43m (216)
DFT formation energy, kJ per mole of atoms: -21

Lattice parameters (Å, degrees): 4.864 4.864 4.864 60.00 60.00 60.00
Fractional coordinates of all 4 atoms:
Pm 0.250 0.250 0.250
Cd 0.750 0.750 0.750
Be 0.500 0.500 0.500
Au 0.000 0.000 0.000

***

[13]
Crystalline BeCd2RhAu at its relaxed geometry, computed with PBE-GGA.

## Properties
SG: P4/mmm (123)
DFT formation energy, kJ per mole of atoms: 113

Lattice parameters (Å, degrees): 5.102 5.081 5.102 90.00 90.00 90.00
Fractional coordinates of all 5 atoms:
Au 0.000 0.000 0.000
Be 0.500 0.500 0.500
Rh 0.000 0.500 0.000
Cd 0.500 0.000 0.000
Cd 0.000 0.000 0.500

***

[14]
Crystalline ScBeCd2Au at its relaxed geometry, computed with PBE-GGA.

## Properties
SG: P4/mmm (123)
DFT formation energy, kJ per mole of atoms: 60

Lattice parameters (Å, degrees): 5.185 5.159 5.185 90.00 90.00 90.00
Fractional coordinates of all 5 atoms:
Cd 0.500 0.000 0.000
Cd 0.000 0.000 0.500
Au 0.000 0.000 0.000
Sc 0.000 0.500 0.000
Be 0.500 0.500 0.500

***

[15]
Crystalline BeCd2SiAu6 at its relaxed geometry, computed with PBE-GGA.

## Properties
SG: Fm-3m (225)
Energy relative to the elements, uncorrected, meV/atom: 114

Lattice parameters (Å, degrees): 6.578 6.578 6.578 60.00 60.00 90.00
Fractional coordinates of all 10 atoms:
Au 0.260 0.260 0.481
Au 0.260 0.740 0.000
Au 0.740 0.740 0.000
Au 0.260 0.260 0.000
Au 0.740 0.260 0.000
Au 0.740 0.740 0.519
Be 0.500 0.500 0.000
Si 0.000 0.000 0.000
Cd 0.250 0.750 0.500
Cd 0.750 0.250 0.500

***

[16]
Crystalline Sr2Be3CdAu12 at its relaxed geometry, computed with PBE-GGA.

## Properties
SG: R-3m (166)
DFT formation energy, kJ per mole of atoms: -15

Lattice parameters (Å, degrees): 8.165 8.165 8.165 61.54 61.54 61.54
Fractional coordinates of all 18 atoms:
Be 0.000 0.500 0.000
Be 0.500 0.000 0.000
Be 0.000 0.000 0.500
Au 0.874 0.874 0.397
Au 0.335 0.335 0.901
Au 0.335 0.901 0.335
Au 0.603 0.126 0.126
Au 0.126 0.603 0.126
Au 0.665 0.099 0.665
Au 0.397 0.874 0.874
Au 0.126 0.126 0.603
Au 0.901 0.335 0.335
Au 0.665 0.665 0.099
Au 0.099 0.665 0.665
Au 0.874 0.397 0.874
Sr 0.605 0.605 0.605
Sr 0.395 0.395 0.395
Cd 0.000 0.000 0.000

***

[17]
Crystalline SrBe2CdAu5 at its relaxed geometry, computed with PBE-GGA.

## Properties
SG: P4/mmm (123)
DFT formation energy, kJ per mole of atoms: -22

Lattice parameters (Å, degrees): 4.719 4.719 7.721 90.00 90.00 90.00
Fractional coordinates of all 9 atoms:
Au 0.500 0.000 0.214
Au 0.000 0.500 0.214
Au 0.000 0.500 0.786
Au 0.500 0.000 0.786
Au 0.500 0.500 0.500
Sr 0.000 0.000 0.500
Cd 0.000 0.000 0.000
Be 0.500 0.500 0.184
Be 0.500 0.500 0.816

***

[18]
Crystalline Sr2BeCdAu6 at its relaxed geometry, computed with PBE-GGA.

## Properties
SG: P-1 (2)
DFT formation energy, kJ per mole of atoms: -45

Lattice parameters (Å, degrees): 6.507 7.498 7.382 52.13 64.03 90.34
Fractional coordinates of all 10 atoms:
Au 0.807 0.728 0.937
Au 0.265 0.176 0.474
Au 0.193 0.272 0.063
Au 0.258 0.729 0.942
Au 0.735 0.824 0.526
Au 0.742 0.271 0.058
Be 0.500 0.500 0.000
Sr 0.724 0.270 0.555
Sr 0.276 0.730 0.445
Cd 0.000 0.000 0.000

***

[19]
Crystalline Be2VCdAu at its relaxed geometry, computed with PBE-GGA.

## Properties
SG: P4/mmm (123)
DFT formation energy, kJ per mole of atoms: 135

Lattice parameters (Å, degrees): 4.366 5.097 4.366 90.00 90.00 90.00
Each line ends with the local moment (μB).
Fractional coordinates of all 5 atoms:
Cd 0.000 0.500 0.000  0.07
Be 0.000 0.000 0.500  0.03
Be 0.500 0.000 0.000  0.07
V 0.000 0.000 0.000  1.57
Au 0.500 0.500 0.500  0.02

***

[20]
Crystalline YBe2CdAu at its relaxed geometry, computed with PBE-GGA.

## Properties
SG: P4/mmm (123)
DFT formation energy, kJ per mole of atoms: 156

Lattice parameters (Å, degrees): 5.085 5.801 5.085 90.00 90.00 90.00
Fractional coordinates of all 5 atoms:
Cd 0.000 0.500 0.000
Au 0.500 0.500 0.500
Y 0.000 0.000 0.000
Be 0.000 0.000 0.500
Be 0.500 0.000 0.000

***

[21]
Crystalline Be2ZnCd2Au5 at its relaxed geometry, computed with PBE-GGA.

## Properties
SG: P4/mbm (127)
DFT formation energy, kJ per mole of atoms: -13

Lattice parameters (Å, degrees): 3.271 10.056 10.056 90.00 90.00 90.00
Fractional coordinates of all 20 atoms:
Cd 0.000 0.825 0.675
Cd 0.000 0.675 0.175
Cd 0.000 0.175 0.325
Cd 0.000 0.325 0.825
Au 0.500 0.205 0.068
Au 0.500 0.000 0.500
Au 0.500 0.932 0.205
Au 0.500 0.432 0.295
Au 0.500 0.068 0.795
Au 0.500 0.568 0.705
Au 0.500 0.795 0.932
Au 0.500 0.295 0.568
Au 0.500 0.500 0.000
Au 0.500 0.705 0.432
Be 0.000 0.872 0.372
Be 0.000 0.372 0.128
Be 0.000 0.628 0.872
Be 0.000 0.128 0.628
Zn 0.000 0.000 0.000
Zn 0.000 0.500 0.500

***

[22]
Crystalline ZrBe2CdAu at its relaxed geometry, computed with PBE-GGA.

## Properties
SG: P4/mmm (123)
DFT formation energy, kJ per mole of atoms: 50

Lattice parameters (Å, degrees): 4.365 5.038 4.365 90.00 90.00 90.00
Fractional coordinates of all 5 atoms:
Cd 0.000 0.500 0.000
Zr 0.500 0.500 0.500
Be 0.000 0.000 0.500
Be 0.500 0.000 0.000
Au 0.000 0.000 0.000

***

Total moment in μB/atom, matching the order above: 0.000; 0.000; 0.000; 0.000; 0.000; 0.000; 0.000; 0.000; 0.000; 0.000; 0.000; 0.000; 0.000; 0.000; 0.000; 0.000; 0.000; 0.000; 0.438; 0.000; 0.000; 0.000
Volume in A^3/atom, matching the order above: 16.99; 21.04; 18.55; 22.03; 21.08; 16.95; 16.93; 19.90; 17.85; 18.51; 17.65; 20.34; 26.45; 27.74; 20.13; 22.12; 19.10; 23.56; 19.44; 30.00; 16.54; 19.20